1.
La5ThS7 | PBE | optimized geometry

Structure (CIF):
```
data_La5ThS7
_chemical_formula_sum 'La10 Th2 S14'
_space_group_name_H-M_alt 'P 1'
_space_group_IT_number 1
_cell_length_a 4.049
_cell_length_b 7.191
_cell_length_c 23.961
_cell_angle_alpha 91.88
_cell_angle_beta 90.00
_cell_angle_gamma 106.35
loop_
_space_group_symop_operation_xyz
'x,y,z'
loop_
_atom_site_label
_atom_site_type_symbol
_atom_site_fract_x
_atom_site_fract_y
_atom_site_fract_z
_atom_site_occupancy
La1 La 0.001 0.002 0.000 1
La2 La 0.720 0.440 0.927 1
La3 La 0.282 0.564 0.073 1
La4 La 0.543 0.085 0.351 1
La5 La 0.457 0.914 0.649 1
La6 La 0.000 0.999 0.500 1
La7 La 0.272 0.544 0.428 1
La8 La 0.727 0.454 0.572 1
La9 La 0.448 0.896 0.850 1
La10 La 0.553 0.107 0.150 1
Th1 Th 0.790 0.579 0.262 1
Th2 Th 0.211 0.422 0.738 1
S1 S 0.431 0.862 0.248 1
S2 S 0.570 0.139 0.752 1
S3 S 0.639 0.278 0.040 1
S4 S 0.363 0.726 0.960 1
S5 S 0.365 0.731 0.538 1
S6 S 0.634 0.268 0.462 1
S7 S 0.199 0.398 0.185 1
S8 S 0.803 0.605 0.815 1
S9 S 0.819 0.638 0.682 1
S10 S 0.180 0.361 0.318 1
S11 S 0.918 0.835 0.113 1
S12 S 0.084 0.169 0.887 1
S13 S 0.100 0.200 0.619 1
S14 S 0.899 0.798 0.380 1
```

formation energy (no corrections)	-2.09	eV/atom
volume	25.73	A^3/atom
space-group type	Cm

2.
La4ThS5 | PBE | optimized geometry

Structure (CIF):
```
data_La4ThS5
_chemical_formula_sum 'La4 Th1 S5'
_space_group_name_H-M_alt 'P 1'
_space_group_IT_number 1
_cell_length_a 5.836
_cell_length_b 7.154
_cell_length_c 7.154
_cell_angle_alpha 80.42
_cell_angle_beta 65.93
_cell_angle_gamma 65.93
loop_
_space_group_symop_operation_xyz
'x,y,z'
loop_
_atom_site_label
_atom_site_type_symbol
_atom_site_fract_x
_atom_site_fract_y
_atom_site_fract_z
_atom_site_occupancy
La1 La 0.403 0.397 0.798 1
La2 La 0.801 0.798 0.603 1
La3 La 0.201 0.202 0.397 1
La4 La 0.598 0.603 0.202 1
Th1 Th 0.001 0.000 0.000 1
S1 S 0.902 0.394 0.804 1
S2 S 0.296 0.804 0.606 1
S3 S 0.706 0.196 0.394 1
S4 S 0.100 0.606 0.196 1
S5 S 0.501 0.000 0.000 1
```

formation energy (no corrections)	-2.10	eV/atom
volume	24.90	A^3/atom
space-group type	I4/m

3.
La3Th5S8 | PBE | optimized geometry

Structure (CIF):
```
data_La3Th5S8
_chemical_formula_sum 'La3 Th5 S8'
_space_group_name_H-M_alt 'P 1'
_space_group_IT_number 1
_cell_length_a 8.135
_cell_length_b 8.135
_cell_length_c 8.183
_cell_angle_alpha 60.19
_cell_angle_beta 60.19
_cell_angle_gamma 60.00
loop_
_space_group_symop_operation_xyz
'x,y,z'
loop_
_atom_site_label
_atom_site_type_symbol
_atom_site_fract_x
_atom_site_fract_y
_atom_site_fract_z
_atom_site_occupancy
La1 La 0.500 0.000 0.500 1
La2 La 0.000 0.000 0.500 1
La3 La 0.000 0.500 0.500 1
Th1 Th 0.500 0.000 0.000 1
Th2 Th 0.500 0.500 0.000 1
Th3 Th 0.000 0.000 0.000 1
Th4 Th 0.000 0.500 0.000 1
Th5 Th 0.500 0.500 0.500 1
S1 S 0.250 0.250 0.753 1
S2 S 0.250 0.747 0.753 1
S3 S 0.747 0.250 0.753 1
S4 S 0.748 0.748 0.756 1
S5 S 0.750 0.750 0.247 1
S6 S 0.750 0.253 0.247 1
S7 S 0.253 0.750 0.247 1
S8 S 0.252 0.252 0.244 1
```

formation energy (no corrections)	-1.96	eV/atom
volume	24.00	A^3/atom
space-group type	R-3m

4.
LaTh2S3 | PBE | optimized geometry

Structure (CIF):
```
data_LaTh2S3
_chemical_formula_sum 'La4 Th8 S12'
_space_group_name_H-M_alt 'P 1'
_space_group_IT_number 1
_cell_length_a 7.041
_cell_length_b 7.041
_cell_length_c 12.975
_cell_angle_alpha 100.32
_cell_angle_beta 100.32
_cell_angle_gamma 109.86
loop_
_space_group_symop_operation_xyz
'x,y,z'
loop_
_atom_site_label
_atom_site_type_symbol
_atom_site_fract_x
_atom_site_fract_y
_atom_site_fract_z
_atom_site_occupancy
La1 La 0.917 0.917 0.833 1
La2 La 0.333 0.833 0.667 1
La3 La 0.167 0.667 0.333 1
La4 La 0.083 0.083 0.167 1
Th1 Th 0.001 0.501 0.001 1
Th2 Th 0.416 0.416 0.832 1
Th3 Th 0.834 0.334 0.668 1
Th4 Th 0.249 0.249 0.499 1
Th5 Th 0.751 0.751 0.501 1
Th6 Th 0.666 0.166 0.332 1
Th7 Th 0.584 0.584 0.168 1
Th8 Th 0.499 0.999 0.999 1
S1 S 0.167 0.663 0.835 1
S2 S 0.668 0.172 0.835 1
S3 S 0.083 0.087 0.665 1
S4 S 0.582 0.578 0.665 1
S5 S 0.995 0.495 0.500 1
S6 S 0.505 0.005 0.500 1
S7 S 0.422 0.418 0.335 1
S8 S 0.913 0.917 0.335 1
S9 S 0.828 0.332 0.165 1
S10 S 0.337 0.833 0.165 1
S11 S 0.255 0.255 0.000 1
S12 S 0.745 0.745 0.000 1
```

formation energy (no corrections)	-1.94	eV/atom
volume	23.95	A^3/atom
space-group type	Fddd